First-principles (PBE) data for a relaxed structure of CaY2As, as listed in Alexandria.

Values from the calculation:
- VASP energy: -4.934 eV/atom
- Calculated formation energy: -3.8 kJ per mole of atoms

```
4
Lattice="5.357 0.000 0.000 2.678 4.639 0.000 2.678 1.546 4.374" Properties=species:S:1:pos:R:3 pbc="T T T"
Y 0.000 0.000 0.000
Y 2.678 1.546 1.093
As 5.357 3.093 2.187
Ca 8.035 4.639 3.280
```